# AlAg2Pb

A relaxed structure of AlAg2Pb (PBE-GGA, Alexandria via LeMat-Bulk).

abc: 4.401 3.120 6.413
angles: 75.70 90.00 90.00
Atoms (fractional coordinates):
Pb 0.500 0.750 0.750
Ag 0.000 0.069 0.045
Ag 0.000 0.431 0.455
Al 0.500 0.250 0.250

Calculated values
Total magnetization in μB/atom: 0.000
Calculated density in g/cm³: 8.76
DOS at the Fermi energy in states/eV per cell: 0.91
DFT formation energy in eV per atom: 0.129
E above lowest polymorph in meV per atom: 87.1



# Ce2PrUN4

A relaxed structure of Ce2PrUN4 (PBE-GGA, Alexandria via LeMat-Bulk).

abc: 5.049 5.049 6.159
angles: 114.19 114.19 90.00
Atoms (fractional coordinates):
U 0.750 0.250 0.500
Ce 0.000 0.000 0.000
N 0.243 0.243 0.486
Pr 0.500 0.500 0.000
N 0.527 0.027 0.054
N 0.973 0.473 0.946
N 0.757 0.757 0.514
Ce 0.250 0.750 0.500

Calculated values
Total magnetization in μB/atom: 0.215
Calculated density in g/cm³: 9.28
DOS at the Fermi energy in states/eV per cell: 9.77
Final energy in eV per atom: -9.05



# CaAg2Sb

A relaxed structure of CaAg2Sb (PBE-GGA, Alexandria via LeMat-Bulk).

abc: 5.182 5.182 5.125
angles: 123.03 123.03 85.51
Atoms (fractional coordinates):
Sb 0.250 0.750 0.500
Ca 0.500 0.500 0.000
Ag 0.000 0.000 0.000
Ag 0.750 0.250 0.500

Calculated values
Total magnetization in μB/atom: 0.000
Calculated density in g/cm³: 6.82
DOS at the Fermi energy in states/eV per cell: 1.26
Final energy in eV per atom: -3.25



# Na4Hg5Bi

A relaxed structure of Na4Hg5Bi (PBE-GGA, Alexandria via LeMat-Bulk).

abc: 3.756 3.756 18.697
angles: 90.00 90.00 90.00
Atoms (fractional coordinates):
Na 0.000 0.000 0.201
Hg 0.500 0.500 0.696
Hg 0.500 0.500 0.500
Hg 0.500 0.500 0.304
Hg 0.500 0.500 0.887
Na 0.000 0.000 0.401
Hg 0.500 0.500 0.113
Na 0.000 0.000 0.599
Bi 0.000 0.000 0.000
Na 0.000 0.000 0.799

Calculated values
Total magnetization in μB/atom: 0.000
Calculated density in g/cm³: 8.21
DOS at the Fermi energy in states/eV per cell: 1.90
DFT formation energy in eV per atom: -0.215
E above lowest polymorph in meV per atom: 12.4



# ReP

A relaxed structure of ReP (PBE-GGA, Alexandria via LeMat-Bulk).

abc: 4.069 4.069 4.069
angles: 42.07 42.07 42.07
Atoms (fractional coordinates):
Re 0.500 0.500 0.500
P 0.000 0.000 0.000

Calculated values
Total magnetization in μB/atom: 0.000
Calculated density in g/cm³: 13.18
DOS at the Fermi energy in states/eV per cell: 1.85
DFT formation energy in eV per atom: 0.041
E above lowest polymorph in meV per atom: 329.6



# K2LiSI

A relaxed structure of K2LiSI (PBE-GGA, Alexandria via LeMat-Bulk).

abc: 6.191 6.191 4.560
angles: 90.00 90.00 90.00
Atoms (fractional coordinates):
I 0.500 0.500 0.500
K 0.000 0.500 0.000
K 0.500 0.000 0.000
Li 0.000 0.000 0.500
S 0.000 0.000 0.000

Calculated values
Total magnetization in μB/atom: 0.000
Calculated density in g/cm³: 2.32
DOS at the Fermi energy in states/eV per cell: 0.00
Final energy in eV per atom: -3.19



# KTeClO

A relaxed structure of KTeClO (PBE-GGA, Alexandria via LeMat-Bulk).

abc: 3.420 3.535 8.097
angles: 90.00 101.87 90.00
Atoms (fractional coordinates):
K 0.052 0.500 0.762
Te 0.344 0.000 0.334
O 0.461 0.000 0.573
Cl 0.672 0.000 0.009

Calculated values
Total magnetization in μB/atom: 0.000
Calculated density in g/cm³: 3.78
DOS at the Fermi energy in states/eV per cell: 1.17
E above lowest polymorph in meV per atom: 0.0



# HfScAlRu

A relaxed structure of HfScAlRu (PBE-GGA, Alexandria via LeMat-Bulk).

abc: 3.278 3.278 6.692
angles: 90.00 90.00 90.00
Atoms (fractional coordinates):
Sc 0.000 0.000 0.372
Hf 0.000 0.000 0.840
Ru 0.500 0.500 0.612
Al 0.500 0.500 0.104

Calculated values
Total magnetization in μB/atom: 0.000
Calculated density in g/cm³: 8.12
DOS at the Fermi energy in states/eV per cell: 1.27
DFT formation energy in eV per atom: -0.582



# Na2TiPb3O6

A relaxed structure of Na2TiPb3O6 (PBE-GGA, Alexandria via LeMat-Bulk).

abc: 6.143 6.143 5.852
angles: 98.14 98.14 120.80
Atoms (fractional coordinates):
O 0.667 0.929 0.807
O 0.197 0.197 0.747
O 0.803 0.803 0.253
Pb 0.165 0.835 0.500
Ti 0.000 0.000 0.000
O 0.333 0.071 0.193
Na 0.325 0.675 0.000
Pb 0.835 0.165 0.500
O 0.929 0.667 0.807
O 0.071 0.333 0.193
Na 0.675 0.325 0.000
Pb 0.500 0.500 0.500

Calculated values
Total magnetization in μB/atom: 0.000
Calculated density in g/cm³: 7.42
Final energy in eV per atom: -5.91



# Er3Sc5Tl2

A relaxed structure of Er3Sc5Tl2 (PBE-GGA, Alexandria via LeMat-Bulk).

abc: 6.430 11.730 11.730
angles: 38.80 74.09 74.09
Atoms (fractional coordinates):
Er 0.373 0.465 0.789
Sc 0.774 0.544 0.908
Er 0.750 0.000 0.000
Er 0.127 0.211 0.535
Sc 0.226 0.456 0.092
Sc 0.083 0.167 0.167
Tl 0.915 0.349 0.820
Tl 0.085 0.651 0.180
Sc 0.726 0.092 0.456
Sc 0.417 0.833 0.833
Er 0.627 0.535 0.211
Sc 0.274 0.908 0.544
Tl 0.415 0.820 0.349
Sc 0.583 0.167 0.167
Sc 0.917 0.833 0.833
Sc 0.750 0.500 0.500
Sc 0.250 0.500 0.500
Er 0.873 0.789 0.465
Er 0.250 0.000 0.000
Tl 0.585 0.180 0.651

Calculated values
Total magnetization in μB/atom: 0.000
Calculated density in g/cm³: 7.11
DOS at the Fermi energy in states/eV per cell: 34.31
DFT formation energy in eV per atom: -0.047



# Cu2PbSe

A relaxed structure of Cu2PbSe (PBE-GGA, Alexandria via LeMat-Bulk).

abc: 6.369 6.369 6.436
angles: 60.34 60.34 90.00
Atoms (fractional coordinates):
Pb 0.750 0.250 0.500
Pb 0.000 0.000 0.000
Cu 0.375 0.425 0.750
Cu 0.575 0.125 0.250
Cu 0.875 0.825 0.750
Se 0.250 0.750 0.500
Se 0.500 0.500 0.000
Cu 0.175 0.625 0.250

Calculated values
Total magnetization in μB/atom: 0.000
Calculated density in g/cm³: 7.36
DOS at the Fermi energy in states/eV per cell: 1.12
Final energy in eV per atom: -3.72



# BeRhCl2

A relaxed structure of BeRhCl2 (PBE-GGA, Alexandria via LeMat-Bulk).

abc: 3.205 4.348 4.348
angles: 90.00 90.00 90.00
Atoms (fractional coordinates):
Cl 0.000 0.500 0.500
Rh 0.500 0.500 0.000
Be 0.500 0.000 0.500
Cl 0.000 0.000 0.000

Calculated values
Total magnetization in μB/atom: 0.000
Calculated density in g/cm³: 5.01
DOS at the Fermi energy in states/eV per cell: 2.82
E above lowest polymorph in meV per atom: 949.8